## w
Computed, not measured: a relaxed structure of IrRu2Br at the GGA-PBE level of DFT.

```
IrRu2Br
1.0
-2.987 2.987 4.904
2.987 -2.987 4.904
2.987 2.987 -4.904
Ir Ru Br
2 4 2
Cartesian
0.000 0.000 0.000 Ir
0.000 2.987 2.452 Ir
4.480 1.381 -1.226 Ru
1.381 1.493 1.226 Ru
-1.493 1.606 3.678 Ru
1.606 1.493 6.130 Ru
2.987 0.000 2.452 Br
0.000 0.000 4.904 Br
```

Output
Size of the total moment, μB per atom: 0.00

=====

## x
Computed, not measured: a relaxed structure of IrRu2Br at the GGA-PBE level of DFT.

```
IrRu2Br
1.0
-1.428 2.329 4.633
1.428 -2.329 4.633
1.428 2.329 -4.633
Ir Ru Br
1 2 1
Cartesian
0.000 0.000 0.000 Ir
1.428 0.000 2.385 Ru
0.000 0.000 4.763 Ru
0.000 2.329 2.317 Br
```

Output
Size of the total moment, μB per atom: 0.35

=====

## y
Computed, not measured: a relaxed structure of IrRu2Br at the GGA-PBE level of DFT.

```
IrRu2Br
1.0
2.843 0.000 0.000
0.000 3.546 0.000
0.000 0.000 6.645
Ir Ru Br
1 2 1
Cartesian
0.000 0.000 0.000 Ir
1.421 1.773 1.340 Ru
1.421 1.773 5.305 Ru
0.000 0.000 3.323 Br
```

Output
Size of the total moment, μB per atom: 0.00

=====

## z
Computed, not measured: a relaxed structure of IrRu2Br at the GGA-PBE level of DFT.

```
IrRu2Br
1.0
2.822 0.000 0.000
0.000 2.822 0.000
0.000 0.000 8.114
Ir Ru Br
1 2 1
Cartesian
0.000 0.000 0.000 Ir
0.000 0.000 3.577 Ru
1.411 1.411 1.815 Ru
1.411 1.411 5.490 Br
```

Output
Size of the total moment, μB per atom: 0.00

=====

How far above the most stable structure does each one sit? In meV per atom: w 388; x 235; y 33; z 0.